Entry 1:
# Pr8Zn3GaI4

Crystalline Pr8Zn3GaI4 at its relaxed geometry (PBE, the Alexandria database).

Results
density of states at the Fermi level = 13.1 states/eV/f.u.
formation energy from raw total energies = -0.6203 eV per atom
space-group type = No. 166

abc: 8.466 9.493 8.463
angles: 116.47 120.01 90.00
Fractional coordinates of all 16 atoms:
Zn  0.000  0.500  0.500
Zn  0.500  0.500  0.000
Zn  0.500  0.500  0.500
I  0.000  0.000  0.500
I  0.500  0.000  0.000
I  0.500  0.000  0.500
I  0.000  0.000  0.000
Pr  0.240  0.719  0.480
Pr  0.240  0.719  0.979
Pr  0.760  0.281  0.021
Pr  0.739  0.719  0.979
Pr  0.740  0.720  0.480
Pr  0.760  0.281  0.520
Pr  0.261  0.281  0.021
Pr  0.260  0.280  0.520
Ga  0.000  0.500  0.000

Entry 2:
# Ga2PtI

Crystalline Ga2PtI at its relaxed geometry (PBE, the Alexandria database).

Results
density of states at the Fermi level = 1.4 states/eV/f.u.
relative energy among the computed polymorphs = 0 meV/atom
formation energy from raw total energies = -0.2164 eV per atom
space-group type = No. 122

abc: 6.208 6.208 7.798
angles: 66.54 66.54 90.00
Fractional coordinates of all 8 atoms:
I  0.500  0.500  0.000
I  0.250  0.750  0.500
Pt  0.750  0.250  0.500
Pt  0.000  0.000  0.000
Ga  0.024  0.625  0.250
Ga  0.375  0.274  0.750
Ga  0.875  0.976  0.750
Ga  0.726  0.125  0.250

Entry 3:
# Ga2Pt2I

Crystalline Ga2Pt2I at its relaxed geometry (PBE, the Alexandria database).

Results
density of states at the Fermi level = 2.7 states/eV/f.u.
formation energy from raw total energies = -0.1377 eV per atom
space-group type = No. 127

abc: 7.550 7.550 3.279
angles: 90.00 90.00 90.00
Fractional coordinates of all 10 atoms:
Pt  0.360  0.860  0.000
Pt  0.860  0.640  0.000
Pt  0.140  0.360  0.000
Pt  0.640  0.140  0.000
I  0.500  0.500  0.000
I  0.000  0.000  0.000
Ga  0.145  0.645  0.500
Ga  0.355  0.145  0.500
Ga  0.645  0.855  0.500
Ga  0.855  0.355  0.500

Entry 4:
# Ga2PtI4

Crystalline Ga2PtI4 at its relaxed geometry (PBE, the Alexandria database).

Results
density of states at the Fermi level = 0.2 states/eV/f.u.
formation energy from raw total energies = -0.1604 eV per atom
space-group type = No. 139

abc: 5.632 5.632 8.726
angles: 71.17 71.17 90.00
Fractional coordinates of all 7 atoms:
Ga  0.625  0.625  0.751
Ga  0.375  0.375  0.249
I  0.500  0.000  0.000
I  0.174  0.174  0.652
I  0.000  0.500  0.000
I  0.826  0.826  0.348
Pt  0.000  0.000  0.000

Entry 5:
# GaPtI6

Crystalline GaPtI6 at its relaxed geometry (PBE, the Alexandria database).

Results
density of states at the Fermi level = 2.2 states/eV/f.u.
formation energy from raw total energies = -0.2060 eV per atom
space-group type = No. 12

abc: 10.893 7.346 7.346
angles: 58.70 111.91 68.09
Fractional coordinates of all 8 atoms:
I  0.292  0.709  0.579
I  0.708  0.291  0.421
I  0.185  0.136  0.864
I  0.708  0.579  0.709
I  0.815  0.864  0.136
I  0.292  0.421  0.291
Pt  0.500  0.500  0.500
Ga  0.000  0.000  0.000

Entry 6:
# Ga2PtI

Crystalline Ga2PtI at its relaxed geometry (PBE, the Alexandria database).

Results
density of states at the Fermi level = 4.1 states/eV/f.u.
relative energy among the computed polymorphs = 557 meV/atom
formation energy from raw total energies = 0.3404 eV per atom
space-group type = No. 225

abc: 4.984 4.984 4.984
angles: 60.00 60.00 60.00
Fractional coordinates of all 4 atoms:
Ga  0.750  0.750  0.750
Ga  0.250  0.250  0.250
Pt  0.500  0.500  0.500
I  0.000  0.000  0.000

Entry 7:
# GaPt3I

Crystalline GaPt3I at its relaxed geometry (PBE, the Alexandria database).

Results
density of states at the Fermi level = 0.8 states/eV/f.u.
relative energy among the computed polymorphs = 0 meV/atom
formation energy from raw total energies = 0.5825 eV per atom
space-group type = No. 221

abc: 4.736 4.736 4.736
angles: 90.00 90.00 90.00
Fractional coordinates of all 5 atoms:
Pt  0.500  0.000  0.000
Pt  0.000  0.000  0.500
Pt  0.000  0.500  0.000
I  0.500  0.500  0.500
Ga  0.000  0.000  0.000

Entry 8:
# Rb2GaPtI6

Crystalline Rb2GaPtI6 at its relaxed geometry (PBE, the Alexandria database).

Results
density of states at the Fermi level = 5.7 states/eV/f.u.
formation energy from raw total energies = -0.7060 eV per atom
space-group type = No. 139

abc: 8.207 8.207 8.210
angles: 60.01 60.01 90.00
Fractional coordinates of all 10 atoms:
I  0.761  0.761  0.000
I  0.241  0.241  0.518
I  0.239  0.239  0.000
I  0.759  0.759  0.482
I  0.239  0.761  0.000
I  0.761  0.239  0.000
Rb  0.250  0.750  0.500
Rb  0.750  0.250  0.500
Ga  0.500  0.500  0.000
Pt  0.000  0.000  0.000

Entry 9:
# GaSb2PtI

Crystalline GaSb2PtI at its relaxed geometry (PBE, the Alexandria database).

Results
density of states at the Fermi level = 4.5 states/eV/f.u.
relative energy among the computed polymorphs = 0 meV/atom
formation energy from raw total energies = 0.3268 eV per atom
space-group type = No. 123

abc: 5.235 5.235 5.856
angles: 90.00 90.00 90.00
Fractional coordinates of all 5 atoms:
I  0.000  0.000  0.500
Pt  0.000  0.000  0.000
Sb  0.000  0.500  0.000
Sb  0.500  0.000  0.000
Ga  0.500  0.500  0.500

Entry 10:
# GaSbPtI2

Crystalline GaSbPtI2 at its relaxed geometry (PBE, the Alexandria database).

Results
density of states at the Fermi level = 3.8 states/eV/f.u.
relative energy among the computed polymorphs = 0 meV/atom
formation energy from raw total energies = 0.1670 eV per atom
space-group type = No. 123

abc: 5.724 5.724 5.123
angles: 90.00 90.00 90.00
Fractional coordinates of all 5 atoms:
Sb  0.000  0.000  0.500
I  0.000  0.500  0.000
I  0.500  0.000  0.000
Pt  0.000  0.000  0.000
Ga  0.500  0.500  0.500

Entry 11:
# GaSbPtI2

Crystalline GaSbPtI2 at its relaxed geometry (PBE, the Alexandria database).

Results
density of states at the Fermi level = 6.1 states/eV/f.u.
relative energy among the computed polymorphs = 722 meV/atom
formation energy from raw total energies = 0.8894 eV per atom
space-group type = No. 123

abc: 5.391 5.391 5.456
angles: 90.00 90.00 90.00
Fractional coordinates of all 5 atoms:
Sb  0.000  0.000  0.500
I  0.500  0.000  0.000
I  0.000  0.500  0.000
Ga  0.000  0.000  0.000
Pt  0.500  0.500  0.500

Entry 12:
# GaSb2PtI

Crystalline GaSb2PtI at its relaxed geometry (PBE, the Alexandria database).

Results
density of states at the Fermi level = 4.4 states/eV/f.u.
relative energy among the computed polymorphs = 615 meV/atom
formation energy from raw total energies = 0.9417 eV per atom
space-group type = No. 123

abc: 5.278 5.278 5.262
angles: 90.00 90.00 90.00
Fractional coordinates of all 5 atoms:
Sb  0.000  0.500  0.000
Sb  0.500  0.000  0.000
Pt  0.500  0.500  0.500
Ga  0.000  0.000  0.000
I  0.000  0.000  0.500

Entry 13:
# Ga2SnPtI

Crystalline Ga2SnPtI at its relaxed geometry (PBE, the Alexandria database).

Results
density of states at the Fermi level = 2.0 states/eV/f.u.
formation energy from raw total energies = -0.3325 eV per atom
space-group type = No. 123

abc: 4.931 4.931 5.473
angles: 90.00 90.00 90.00
Fractional coordinates of all 5 atoms:
Ga  0.000  0.500  0.000
Ga  0.500  0.000  0.000
I  0.500  0.500  0.500
Pt  0.000  0.000  0.000
Sn  0.000  0.000  0.500

Entry 14:
# SrGaPt2I

Crystalline SrGaPt2I at its relaxed geometry (PBE, the Alexandria database).

Results
density of states at the Fermi level = 1.3 states/eV/f.u.
formation energy from raw total energies = 0.9337 eV per atom
space-group type = No. 123

abc: 5.288 6.420 5.288
angles: 90.00 90.00 90.00
Fractional coordinates of all 5 atoms:
Pt  0.000  0.000  0.500
Pt  0.500  0.000  0.000
Ga  0.000  0.500  0.000
Sr  0.000  0.000  0.000
I  0.500  0.500  0.500

Entry 15:
# Sr2GaPtI

Crystalline Sr2GaPtI at its relaxed geometry (PBE, the Alexandria database).

Results
density of states at the Fermi level = 1.6 states/eV/f.u.
formation energy from raw total energies = -0.8959 eV per atom
space-group type = No. 123

abc: 6.035 6.035 4.759
angles: 90.00 90.00 90.00
Fractional coordinates of all 5 atoms:
Ga  0.000  0.000  0.500
Sr  0.000  0.500  0.000
Sr  0.500  0.000  0.000
I  0.500  0.500  0.500
Pt  0.000  0.000  0.000

Entry 16:
# SrGa2PtI

Crystalline SrGa2PtI at its relaxed geometry (PBE, the Alexandria database).

Results
density of states at the Fermi level = 2.7 states/eV/f.u.
formation energy from raw total energies = -0.7763 eV per atom
space-group type = No. 123

abc: 4.840 4.840 6.345
angles: 90.00 90.00 90.00
Fractional coordinates of all 5 atoms:
Ga  0.500  0.000  0.000
Ga  0.000  0.500  0.000
I  0.500  0.500  0.500
Sr  0.000  0.000  0.500
Pt  0.000  0.000  0.000

Entry 17:
# GaTcPtI2

Crystalline GaTcPtI2 at its relaxed geometry (PBE, the Alexandria database).

Results
density of states at the Fermi level = 4.2 states/eV/f.u.
formation energy from raw total energies = 1.1257 eV per atom
space-group type = No. 123

abc: 5.641 4.741 5.641
angles: 90.00 90.00 90.00
Fractional coordinates of all 5 atoms:
I  0.000  0.000  0.500
I  0.500  0.000  0.000
Tc  0.500  0.500  0.500
Pt  0.000  0.500  0.000
Ga  0.000  0.000  0.000

Entry 18:
# GaTe2PtI

Crystalline GaTe2PtI at its relaxed geometry (PBE, the Alexandria database).

Results
density of states at the Fermi level = 8.2 states/eV/f.u.
relative energy among the computed polymorphs = 696 meV/atom
formation energy from raw total energies = 0.8923 eV per atom
space-group type = No. 123

abc: 5.354 5.354 5.292
angles: 90.00 90.00 90.00
Fractional coordinates of all 5 atoms:
I  0.000  0.000  0.500
Te  0.000  0.500  0.000
Te  0.500  0.000  0.000
Pt  0.500  0.500  0.500
Ga  0.000  0.000  0.000

Entry 19:
# GaTePtI2

Crystalline GaTePtI2 at its relaxed geometry (PBE, the Alexandria database).

Results
density of states at the Fermi level = 8.6 states/eV/f.u.
relative energy among the computed polymorphs = 735 meV/atom
formation energy from raw total energies = 0.8303 eV per atom
space-group type = No. 123

abc: 5.419 5.419 5.492
angles: 90.00 90.00 90.00
Fractional coordinates of all 5 atoms:
Pt  0.500  0.500  0.500
Ga  0.000  0.000  0.000
I  0.000  0.500  0.000
I  0.500  0.000  0.000
Te  0.000  0.000  0.500

Entry 20:
# GaTePtI2

Crystalline GaTePtI2 at its relaxed geometry (PBE, the Alexandria database).

Results
density of states at the Fermi level = 5.2 states/eV/f.u.
relative energy among the computed polymorphs = 0 meV/atom
formation energy from raw total energies = 0.0951 eV per atom
space-group type = No. 123

abc: 5.645 5.645 5.244
angles: 90.00 90.00 90.00
Fractional coordinates of all 5 atoms:
I  0.000  0.500  0.000
I  0.500  0.000  0.000
Te  0.000  0.000  0.500
Ga  0.500  0.500  0.500
Pt  0.000  0.000  0.000

Entry 21:
# GaTe2PtI

Crystalline GaTe2PtI at its relaxed geometry (PBE, the Alexandria database).

Results
density of states at the Fermi level = 7.6 states/eV/f.u.
relative energy among the computed polymorphs = 0 meV/atom
formation energy from raw total energies = 0.1963 eV per atom
space-group type = No. 123

abc: 5.336 5.336 5.670
angles: 90.00 90.00 90.00
Fractional coordinates of all 5 atoms:
Ga  0.500  0.500  0.500
Pt  0.000  0.000  0.000
Te  0.500  0.000  0.000
Te  0.000  0.500  0.000
I  0.000  0.000  0.500

Entry 22:
# TlGa2PtI

Crystalline TlGa2PtI at its relaxed geometry (PBE, the Alexandria database).

Results
density of states at the Fermi level = 1.7 states/eV/f.u.
formation energy from raw total energies = -0.4070 eV per atom
space-group type = No. 123

abc: 4.938 4.938 5.546
angles: 90.00 90.00 90.00
Fractional coordinates of all 5 atoms:
Ga  0.500  0.000  0.000
Ga  0.000  0.500  0.000
I  0.500  0.500  0.500
Tl  0.000  0.000  0.500
Pt  0.000  0.000  0.000

Entry 23:
# ZnGa2PtI

Crystalline ZnGa2PtI at its relaxed geometry (PBE, the Alexandria database).

Results
density of states at the Fermi level = 2.3 states/eV/f.u.
formation energy from raw total energies = -0.3474 eV per atom
space-group type = No. 123

abc: 4.953 4.953 5.024
angles: 90.00 90.00 90.00
Fractional coordinates of all 5 atoms:
Ga  0.500  0.000  0.000
Ga  0.000  0.500  0.000
Pt  0.000  0.000  0.000
I  0.500  0.500  0.500
Zn  0.000  0.000  0.500

Entry 24:
# Pu2GaI6

Crystalline Pu2GaI6 at its relaxed geometry (PBE, the Alexandria database).

Results
density of states at the Fermi level = 29.2 states/eV/f.u.
formation energy from raw total energies = -0.9612 eV per atom
space-group type = No. 162

abc: 7.644 7.988 7.988
angles: 120.00 90.00 90.00
Fractional coordinates of all 9 atoms:
Pu  0.500  0.333  0.667
Pu  0.500  0.667  0.333
I  0.265  0.350  0.350
I  0.735  0.650  0.650
I  0.265  0.650  0.000
I  0.735  0.000  0.350
I  0.265  0.000  0.650
I  0.735  0.350  0.000
Ga  0.500  0.000  0.000

Entry 25:
# PuGaI2

Crystalline PuGaI2 at its relaxed geometry (PBE, the Alexandria database).

Results
density of states at the Fermi level = 16.1 states/eV/f.u.
formation energy from raw total energies = -0.1640 eV per atom
space-group type = No. 166

abc: 4.246 4.246 10.691
angles: 78.55 78.55 60.00
Fractional coordinates of all 4 atoms:
I  0.901  0.901  0.297
I  0.099  0.099  0.703
Pu  0.000  0.000  0.000
Ga  0.500  0.500  0.500

Entry 26:
# Pu3GaI8

Crystalline Pu3GaI8 at its relaxed geometry (PBE, the Alexandria database).

Results
density of states at the Fermi level = 47.5 states/eV/f.u.
formation energy from raw total energies = -0.9771 eV per atom
space-group type = No. 186

abc: 9.132 9.132 15.285
angles: 90.00 90.00 120.00
Fractional coordinates of all 24 atoms:
Pu  0.333  0.167  0.716
Pu  0.833  0.167  0.716
Pu  0.667  0.833  0.216
Pu  0.167  0.833  0.216
Pu  0.833  0.667  0.716
Pu  0.167  0.333  0.216
I  0.667  0.333  0.597
I  0.011  0.506  0.336
I  0.494  0.989  0.336
I  0.000  0.000  0.335
I  0.000  0.000  0.835
I  0.838  0.162  0.100
I  0.838  0.675  0.100
I  0.162  0.838  0.600
I  0.162  0.325  0.600
I  0.494  0.506  0.336
I  0.675  0.838  0.600
I  0.989  0.494  0.836
I  0.506  0.011  0.836
I  0.325  0.162  0.100
I  0.333  0.667  0.097
I  0.506  0.494  0.836
Ga  0.667  0.333  0.967
Ga  0.333  0.667  0.467